A plane-wave DFT calculation with PBE was carried out for a relaxed structure of LaMg3Zn2.

The space group is C2/m (No. 12) and the conventional cell measures 16.767, 4.520 and 8.234 Å, with angles of 90.00, 116.80 and 90.00 degrees. Symmetry generates all atoms from La at (0.146, 0.000, 0.065), Mg at (0.045, 0.000, 0.374), Mg at (0.102, 0.500, 0.704), Mg at (0.186, 0.500, 0.450), Zn at (0.020, 0.500, 0.161) and Zn at (0.204, 0.000, 0.724).

For the magnetic moment, the calculation gives 0.00 μB per formula unit. The crystal system is monoclinic. As for the density of states at the Fermi level: 17.8 states/eV/cell. The calculation puts the total energy at -2.234 eV/atom. The energy relative to the elements is -0.191 eV per atom.